Below is a relaxed TbPuZnRh crystal, with properties calculated at the GGA-PBE level.

Calculated values
Magnetization (μB/cell): 5.359
SG: F-43m
Formation enthalpy at 0 K (kJ/mol of formula units): -143
N(E_F) (states/eV per cell): 8.357

Cell: 4.951 4.951 4.951 Å, 60.00 60.00 60.00°
Fractional positions:
Tb  0.000  0.000  0.000
Pu  0.500  0.500  0.500
Zn  0.250  0.250  0.250
Rh  0.750  0.750  0.750

***

Below is a relaxed Cs2K2Pb3 crystal, with properties calculated at the GGA-PBE level.

Calculated values
Magnetization (μB/cell): 0.000
SG: C2/m
Formation enthalpy at 0 K (kJ/mol of formula units): -83
N(E_F) (states/eV per cell): 3.175

Cell: 7.692 7.692 9.128 Å, 119.91 119.91 48.96°
Fractional positions:
Cs  0.177  0.177  0.055
Cs  0.823  0.823  0.945
K  0.149  0.149  0.499
K  0.851  0.851  0.501
Pb  0.469  0.469  0.808
Pb  0.500  0.500  0.500
Pb  0.531  0.531  0.192

***

Question: N(E_F) of number 1 (TbPuZnRh)?
Answer: 8.357 states/eV per cell